Record 1
Here is an optimized crystal structure of Pu3CdN from Alexandria. Energies are from PBE.

a = 4.855 Å, b = 4.855 Å, c = 4.855 Å
α = 90.00°, β = 90.00°, γ = 90.00°
Each line ends with the local moment (μB).
Sites, in units of the cell vectors:
N  0.000  0.000  0.000  -0.28
Cd  0.500  0.500  0.500  0.01
Pu  0.000  0.500  0.000  5.42
Pu  0.000  0.000  0.500  5.42
Pu  0.500  0.000  0.000  5.42

Summary:
Symmetry: Pm-3m
Density of states at the Fermi level (states/eV per atom): 3.876
E_form (uncorrected) (eV/atom): -0.406

Record 2
Here is an optimized crystal structure of PuCdN from Alexandria. Energies are from PBE.

a = 3.884 Å, b = 4.013 Å, c = 8.644 Å
α = 90.00°, β = 102.98°, γ = 90.00°
Each line ends with the local moment (μB).
Sites, in units of the cell vectors:
Pu  0.812  0.250  0.624  4.59
Pu  0.188  0.750  0.376  4.59
Cd  0.564  0.250  0.128  0.03
Cd  0.436  0.750  0.872  0.03
N  0.247  0.250  0.494  -0.23
N  0.753  0.750  0.506  -0.23

Summary:
Symmetry: Cmcm
Density of states at the Fermi level (states/eV per atom): 2.462
E_form (uncorrected) (eV/atom): -0.710

Record 3
Here is an optimized crystal structure of Pu2CdN from Alexandria. Energies are from PBE.

a = 3.077 Å, b = 3.077 Å, c = 8.248 Å
α = 90.00°, β = 90.00°, γ = 90.00°
Each line ends with the local moment (μB).
Sites, in units of the cell vectors:
N  0.500  0.500  0.000  -0.20
Cd  0.500  0.500  0.500  -0.02
Pu  0.000  0.000  0.827  5.47
Pu  0.000  0.000  0.173  5.47

Summary:
Symmetry: P4/mmm
Density of states at the Fermi level (states/eV per atom): 2.520
E_form (uncorrected) (eV/atom): -0.318